(1)
The following is a DFT calculation (GGA-PBE) of a relaxed CeSmMgMn crystal.

a = 7.4111 Å, b = 7.4111 Å, c = 7.4111 Å
α = 90.00°, β = 90.00°, γ = 90.00°
With the nearest neighbours (Å) after each atom.
Space group F-43m (No. 216)
One atom of each set of equivalent atoms:
Ce (0.0000, 0.0000, 0.0000) x4  4 Mn 3.21, 4 Mg 3.21
Sm (0.0000, 0.0000, 0.5000) x4  4 Mg 3.21, 4 Mn 3.21
Mg (0.2500, 0.2500, 0.2500) x4  4 Ce 3.21, 4 Sm 3.21
Mn (0.2500, 0.2500, 0.7500) x4  4 Ce 3.21, 4 Sm 3.21

Results
- D(E_F): 7.8 states/eV/f.u.
- Total moment: 8.5 Bohr magnetons per cell
- Calculated total energy: -5.1854 eV per atom

(2)
The following is a DFT calculation (GGA-PBE) of a relaxed CeYMgMn crystal.

a = 7.3375 Å, b = 7.3375 Å, c = 7.3375 Å
α = 90.00°, β = 90.00°, γ = 90.00°
With the nearest neighbours (Å) after each atom.
Space group F-43m (No. 216)
One atom of each set of equivalent atoms:
Ce (0.0000, 0.0000, 0.0000) x4  4 Mg 3.18, 4 Mn 3.18
Y (0.0000, 0.0000, 0.5000) x4  4 Mn 3.18, 4 Mg 3.18
Mg (0.2500, 0.2500, 0.2500) x4  4 Y 3.18, 4 Ce 3.18
Mn (0.2500, 0.2500, 0.7500) x4  4 Ce 3.18, 4 Y 3.18

Results
- D(E_F): 6.3 states/eV/f.u.
- Total moment: 8.3 Bohr magnetons per cell
- Calculated total energy: -5.6522 eV per atom

(3)
The following is a DFT calculation (GGA-PBE) of a relaxed CeMg2MoN4 crystal.

a = 3.2839 Å, b = 11.8865 Å, c = 10.8905 Å
α = 90.00°, β = 90.00°, γ = 90.00°
With the nearest neighbours (Å) after each atom.
Space group Cmcm (No. 63)
One atom of each set of equivalent atoms:
Ce (0.0000, 0.0720, 0.2500) x4  2 N 2.45
Mg (0.0000, 0.3894, 0.0312) x8  3 N 2.07-2.13
Mo (0.0000, 0.1895, 0.7500) x4  2 N 1.81
N (0.0000, 0.0000, 0.0000) x4  4 Mg 2.13
N (0.0000, 0.2845, 0.6201) x8  1 Mo 1.81
N (0.0000, 0.4193, 0.2500) x4  2 Mo 2.09

Results
- D(E_F): 4.6 states/eV/f.u.
- Total moment: 2.9 Bohr magnetons per cell
- Calculated total energy: -7.3640 eV per atom

(4)
The following is a DFT calculation (GGA-PBE) of a relaxed CeMgScMo crystal.

a = 7.0047 Å, b = 7.0047 Å, c = 7.0047 Å
α = 90.00°, β = 90.00°, γ = 90.00°
With the nearest neighbours (Å) after each atom.
Space group F-43m (No. 216)
One atom of each set of equivalent atoms:
Ce (0.0000, 0.0000, 0.0000) x4  4 Mo 3.03, 4 Mg 3.03
Mg (0.2500, 0.2500, 0.7500) x4  4 Ce 3.03, 4 Sc 3.03
Sc (0.0000, 0.0000, 0.5000) x4  4 Mo 3.03, 4 Mg 3.03
Mo (0.2500, 0.2500, 0.2500) x4  4 Ce 3.03, 4 Sc 3.03

Results
- D(E_F): 3.2 states/eV/f.u.
- Total moment: 0.0 Bohr magnetons per cell
- Calculated total energy: -6.0308 eV per atom

(5)
The following is a DFT calculation (GGA-PBE) of a relaxed CeMgZrMo crystal.

a = 7.0272 Å, b = 7.0272 Å, c = 7.0272 Å
α = 90.00°, β = 90.00°, γ = 90.00°
With the nearest neighbours (Å) after each atom.
Space group F-43m (No. 216)
One atom of each set of equivalent atoms:
Ce (0.0000, 0.0000, 0.0000) x4  4 Mo 3.04, 4 Mg 3.04
Mg (0.2500, 0.2500, 0.2500) x4  4 Zr 3.04, 4 Ce 3.04
Zr (0.0000, 0.0000, 0.5000) x4  4 Mg 3.04, 4 Mo 3.04
Mo (0.2500, 0.2500, 0.7500) x4  4 Zr 3.04, 4 Ce 3.04

Results
- D(E_F): 7.3 states/eV/f.u.
- Total moment: 0.0 Bohr magnetons per cell
- Calculated total energy: -6.5532 eV per atom

(6)
The following is a DFT calculation (GGA-PBE) of a relaxed Ce6Mg2N crystal.

a = 6.5385 Å, b = 6.5385 Å, c = 10.3332 Å
α = 90.00°, β = 90.00°, γ = 90.00°
With the nearest neighbours (Å) after each atom.
Space group I4/mmm (No. 139)
One atom of each set of equivalent atoms:
Ce (0.0000, 0.0000, 0.2236) x4  1 N 2.31
Ce (0.2231, 0.2231, 0.5000) x8  1 N 2.56
Mg (0.0000, 0.5000, 0.2500) x4  12 Ce 3.28-3.48
N (0.0000, 0.0000, 0.0000) x2  6 Ce 2.31-2.56

Results
- D(E_F): 21.7 states/eV/f.u.
- Total moment: 4.8 Bohr magnetons per cell
- Calculated total energy: -5.4674 eV per atom